1.
A relaxed structure of Dy12GaCu6, computed with PBE.

a b c (Å): 8.488 8.488 8.488
angles (deg): 109.47 109.47 109.47
Fractional coordinates of all 19 atoms:
Dy: 0.295 0.107 0.812
Dy: 0.295 0.483 0.188
Dy: 0.705 0.517 0.812
Dy: 0.705 0.893 0.188
Dy: 0.107 0.812 0.295
Dy: 0.483 0.188 0.295
Dy: 0.517 0.812 0.705
Dy: 0.893 0.188 0.705
Dy: 0.812 0.295 0.107
Dy: 0.188 0.295 0.483
Dy: 0.812 0.705 0.517
Dy: 0.188 0.705 0.893
Ga: 0.000 0.000 0.000
Cu: 0.375 0.500 0.875
Cu: 0.625 0.500 0.125
Cu: 0.500 0.875 0.375
Cu: 0.500 0.125 0.625
Cu: 0.875 0.375 0.500
Cu: 0.125 0.625 0.500

## Properties
- energy of formation (eV per atom) = -0.195
- symmetry = Im-3

2.
A relaxed structure of LaMg4Pb2, computed with PBE.

a b c (Å): 4.716 8.886 8.886
angles (deg): 90.00 90.00 90.00
Fractional coordinates of all 14 atoms:
La: 0.500 0.000 0.000
La: 0.000 0.500 0.500
Mg: 0.000 0.096 0.353
Mg: 0.000 0.904 0.647
Mg: 0.500 0.147 0.596
Mg: 0.500 0.853 0.404
Mg: 0.500 0.404 0.853
Mg: 0.500 0.596 0.147
Mg: 0.000 0.353 0.096
Mg: 0.000 0.647 0.904
Pb: 0.000 0.202 0.798
Pb: 0.000 0.798 0.202
Pb: 0.500 0.702 0.702
Pb: 0.500 0.298 0.298

## Properties
- energy of formation (eV per atom) = -0.246
- symmetry = P4_2/mnm

3.
A relaxed structure of Tm3SnPd12, computed with PBE.

a b c (Å): 4.088 4.088 16.272
angles (deg): 90.00 90.00 90.00
Fractional coordinates of all 16 atoms:
Tm: 0.000 0.000 0.249
Tm: 0.000 0.000 0.500
Tm: 0.000 0.000 0.751
Sn: 0.000 0.000 0.000
Pd: 0.500 0.500 0.000
Pd: 0.500 0.500 0.247
Pd: 0.500 0.500 0.500
Pd: 0.500 0.500 0.753
Pd: 0.500 0.000 0.121
Pd: 0.500 0.000 0.374
Pd: 0.500 0.000 0.626
Pd: 0.500 0.000 0.879
Pd: 0.000 0.500 0.121
Pd: 0.000 0.500 0.374
Pd: 0.000 0.500 0.626
Pd: 0.000 0.500 0.879

## Properties
- energy of formation (eV per atom) = -0.811
- symmetry = P4/mmm

4.
A relaxed structure of H3PbCl, computed with PBE.

a b c (Å): 4.026 4.026 4.026
angles (deg): 90.00 90.00 90.00
Fractional coordinates of all 5 atoms:
Pb: 0.000 0.000 0.000
H: 0.000 0.500 0.000
H: 0.000 0.000 0.500
H: 0.500 0.000 0.000
Cl: 0.500 0.500 0.500

## Properties
- distance to the lowest polymorph of the same formula (meV/atom) = 0
- symmetry = Pm-3m

5.
A relaxed structure of Ce2HRh, computed with PBE.

a b c (Å): 4.019 4.019 6.287
angles (deg): 71.36 71.36 60.00
Each line ends with the local moment (μB).
Fractional coordinates of all 4 atoms:
H: 0.500 0.500 0.500  -0.01
Rh: 0.000 0.000 0.000  -0.06
Ce: 0.243 0.243 0.272  0.68
Ce: 0.757 0.757 0.728  0.68

## Properties
- distance to the lowest polymorph of the same formula (meV/atom) = 55
- symmetry = R-3m

6.
A relaxed structure of TbDy3Au4, computed with PBE.

a b c (Å): 5.094 5.094 8.843
angles (deg): 73.26 73.26 60.00
Fractional coordinates of all 8 atoms:
Au: 0.875 0.875 0.376
Au: 0.375 0.375 0.874
Au: 0.125 0.125 0.624
Au: 0.625 0.625 0.126
Tb: 0.000 0.000 0.000
Dy: 0.250 0.250 0.250
Dy: 0.750 0.750 0.750
Dy: 0.500 0.500 0.500

## Properties
- energy of formation (eV per atom) = -0.859
- symmetry = R-3m

7.
A relaxed structure of ScBe2Au, computed with PBE.

a b c (Å): 3.686 3.277 4.949
angles (deg): 70.67 90.00 90.00
Fractional coordinates of all 4 atoms:
Sc: 0.000 0.467 0.440
Be: 0.000 0.189 0.997
Be: 0.500 0.074 0.227
Au: 0.500 0.770 0.835

## Properties
- distance to the lowest polymorph of the same formula (meV/atom) = 69
- energy of formation (eV per atom) = -0.230
- symmetry = Amm2

8.
A relaxed structure of SiBi3Se, computed with PBE.

a b c (Å): 5.402 5.402 5.402
angles (deg): 90.00 90.00 90.00
Fractional coordinates of all 5 atoms:
Si: 0.000 0.000 0.000
Bi: 0.000 0.500 0.000
Bi: 0.000 0.000 0.500
Bi: 0.500 0.000 0.000
Se: 0.500 0.500 0.500

## Properties
- formation energy without anion corrections (eV per atom) = 0.66
- distance to the lowest polymorph of the same formula (meV/atom) = 0
- symmetry = Pm-3m

9.
A relaxed structure of AlRu4Rh, computed with PBE.

a b c (Å): 5.053 5.053 5.053
angles (deg): 60.00 60.00 60.00
Each line ends with the local moment (μB).
Fractional coordinates of all 6 atoms:
Al: 0.250 0.250 0.250  -0.01
Ru: 0.625 0.625 0.124  0.26
Ru: 0.625 0.124 0.625  0.26
Ru: 0.625 0.625 0.625  0.26
Ru: 0.124 0.625 0.625  0.26
Rh: 0.000 0.000 0.000  0.27

## Properties
- energy of formation (eV per atom) = 0.380
- symmetry = F-43m

10.
A relaxed structure of POsRh2, computed with PBE.

a b c (Å): 2.799 2.799 8.368
angles (deg): 90.00 90.00 119.34
Fractional coordinates of all 4 atoms:
P: 0.500 0.500 0.250
Os: 0.000 0.000 0.471
Rh: 0.000 0.000 0.032
Rh: 0.500 0.500 0.747

## Properties
- energy of formation (eV per atom) = 0.258
- symmetry = Cmm2

11.
A relaxed structure of Sn2PtClF, computed with PBE.

a b c (Å): 5.326 4.047 5.326
angles (deg): 90.00 90.00 90.00
Fractional coordinates of all 5 atoms:
F: 0.000 0.500 0.000
Sn: 0.000 0.000 0.500
Sn: 0.500 0.000 0.000
Pt: 0.500 0.500 0.500
Cl: 0.000 0.000 0.000

## Properties
- formation energy without anion corrections (eV per atom) = 0.09
- symmetry = P4/mmm

12.
A relaxed structure of TiPbI2N, computed with PBE.

a b c (Å): 6.289 6.289 4.113
angles (deg): 90.00 90.00 90.00
Each line ends with the local moment (μB).
Fractional coordinates of all 5 atoms:
Pb: 0.000 0.000 0.000  0.00
I: 0.000 0.500 0.000  -0.05
I: 0.500 0.000 0.000  -0.05
N: 0.000 0.000 0.500  -0.19
Ti: 0.500 0.500 0.500  2.07

## Properties
- formation energy without anion corrections (eV per atom) = 1.00
- distance to the lowest polymorph of the same formula (meV/atom) = 1182
- symmetry = P4/mmm

13.
A relaxed structure of HfCrTe2I, computed with PBE.

a b c (Å): 5.583 5.583 5.675
angles (deg): 90.00 90.00 90.00
Each line ends with the local moment (μB).
Fractional coordinates of all 5 atoms:
I: 0.000 0.000 0.500  0.01
Cr: 0.500 0.500 0.500  4.38
Te: 0.000 0.500 0.000  -0.08
Te: 0.500 0.000 0.000  -0.08
Hf: 0.000 0.000 0.000  0.08

## Properties
- formation energy without anion corrections (eV per atom) = 0.21
- distance to the lowest polymorph of the same formula (meV/atom) = 0
- symmetry = P4/mmm

14.
A relaxed structure of Tl6In2Bi, computed with PBE.

a b c (Å): 6.542 6.541 8.727
angles (deg): 90.29 90.58 59.99
Fractional coordinates of all 9 atoms:
Tl: 0.002 0.499 0.814
Tl: 0.502 0.501 0.814
Tl: 0.501 0.000 0.814
Tl: 0.498 0.499 0.186
Tl: 0.998 0.501 0.186
Tl: 0.499 0.000 0.186
In: 0.333 0.333 0.500
In: 0.667 0.667 0.500
Bi: 0.000 0.000 0.000

## Properties
- distance to the lowest polymorph of the same formula (meV/atom) = 122
- energy of formation (eV per atom) = 0.146
- symmetry = C2/m

15.
A relaxed structure of KC2S, computed with PBE.

a b c (Å): 5.534 5.534 5.351
angles (deg): 58.87 58.87 90.00
Fractional coordinates of all 8 atoms:
C: 0.294 0.125 0.250
C: 0.456 0.625 0.250
C: 0.375 0.706 0.750
C: 0.875 0.544 0.750
K: 0.000 0.000 0.000
K: 0.750 0.250 0.500
S: 0.500 0.500 0.000
S: 0.250 0.750 0.500

## Properties
- formation energy without anion corrections (eV per atom) = 1.48
- symmetry = I-42d

16.
A relaxed structure of La6PrNd2Ho, computed with PBE.

a b c (Å): 9.349 7.003 6.767
angles (deg): 121.16 105.17 90.00
Fractional coordinates of all 10 atoms:
La: 0.421 0.627 0.255
La: 0.193 0.035 0.602
La: 0.807 0.433 0.398
La: 0.193 0.567 0.602
La: 0.807 0.965 0.398
La: 0.579 0.373 0.745
Pr: 0.500 0.000 0.000
Nd: 0.169 0.073 0.146
Nd: 0.831 0.927 0.854
Ho: 0.000 0.500 0.000

## Properties
- energy of formation (eV per atom) = 0.176
- symmetry = C2/m

17.
A relaxed structure of ZrTl4Cr, computed with PBE.

a b c (Å): 6.084 6.084 6.084
angles (deg): 60.00 60.00 60.00
Each line ends with the local moment (μB).
Fractional coordinates of all 6 atoms:
Zr: 0.750 0.750 0.750  -1.05
Tl: 0.875 0.375 0.375  -0.03
Tl: 0.375 0.375 0.875  -0.03
Tl: 0.375 0.875 0.375  -0.03
Tl: 0.375 0.375 0.375  -0.03
Cr: 0.000 0.000 0.000  3.93

## Properties
- energy of formation (eV per atom) = 0.710
- symmetry = F-43m

18.
A relaxed structure of Nd6Er3Tm2Tl, computed with PBE.

a b c (Å): 6.203 6.203 11.756
angles (deg): 95.09 95.09 120.12
Fractional coordinates of all 12 atoms:
Nd: 0.917 0.588 0.752
Nd: 0.754 0.754 0.250
Nd: 0.083 0.412 0.248
Nd: 0.588 0.917 0.752
Nd: 0.246 0.246 0.750
Nd: 0.412 0.083 0.248
Er: 0.168 0.832 0.500
Er: 0.832 0.168 0.500
Er: 0.500 0.500 0.500
Tm: 0.334 0.666 0.000
Tm: 0.666 0.334 0.000
Tl: 0.000 0.000 0.000

## Properties
- energy of formation (eV per atom) = -0.003
- symmetry = C2/m

19.
A relaxed structure of ScRhCl, computed with PBE.

a b c (Å): 6.510 6.510 6.510
angles (deg): 152.63 152.63 39.09
Fractional coordinates of all 3 atoms:
Cl: 0.030 0.030 0.000
Rh: 0.301 0.301 0.000
Sc: 0.669 0.669 0.000

## Properties
- formation energy without anion corrections (eV per atom) = -0.84
- distance to the lowest polymorph of the same formula (meV/atom) = 114
- symmetry = I4mm

20.
A relaxed structure of Zn2In2Ag7, computed with PBE.

a b c (Å): 4.565 7.334 7.334
angles (deg): 64.75 71.56 71.57
Fractional coordinates of all 11 atoms:
Zn: 0.000 0.580 0.420
Zn: 0.500 0.385 0.615
In: 0.742 0.831 0.686
In: 0.258 0.314 0.169
Ag: 0.868 0.032 0.232
Ag: 0.879 0.386 0.861
Ag: 0.500 0.043 0.957
Ag: 0.624 0.562 0.187
Ag: 0.376 0.813 0.438
Ag: 0.131 0.768 0.968
Ag: 0.121 0.139 0.614

## Properties
- distance to the lowest polymorph of the same formula (meV/atom) = 0
- energy of formation (eV per atom) = 0.008
- symmetry = C2